20
Lattice="6.719 0.000 0.000 0.000 7.575 0.000 -6.333 0.000 10.153" Properties=species:S:1:pos:R:3 comment="Ce6PuPt2Au (PBE, optimized geometry)" spacegroup="No. 14" pbc="T T T"
Ce -0.897 0.345 2.279
Ce -4.064 3.443 7.356
Ce 0.935 5.390 0.691
Ce -2.232 5.972 5.768
Ce 2.091 1.137 0.651
Ce -1.075 2.650 5.728
Ce 1.460 4.925 4.425
Ce -1.706 6.438 9.502
Ce 2.617 1.603 4.385
Ce -0.549 2.184 9.462
Ce 4.449 4.132 2.797
Ce 1.283 7.230 7.874
Pu 0.000 0.000 0.000
Pu -3.167 3.787 5.076
Pt -2.725 0.763 7.494
Pt 0.442 3.025 2.418
Pt -0.057 4.550 7.735
Pt 3.110 6.812 2.659
Au 0.193 0.000 5.076
Au 3.359 3.787 0.000

=====

10
Lattice="6.265 -3.657 0.000 6.265 3.657 0.000 -4.241 0.000 5.984" Properties=species:S:1:pos:R:3 comment="Ce6PuPtAu2 (PBE, optimized geometry)" spacegroup="No. 12" pbc="T T T"
Ce 2.708 1.937 3.997
Ce -0.699 0.000 4.996
Ce 5.582 1.937 1.987
Ce 2.708 -1.937 3.997
Ce 8.988 0.000 0.988
Ce 5.582 -1.937 1.987
Pu -2.120 0.000 2.992
Pt 6.265 0.000 0.000
Au 2.018 0.000 1.619
Au 6.272 0.000 4.364

=====

4
Lattice="0.000 3.443 3.443 3.443 0.000 3.443 3.443 3.443 0.000" Properties=species:S:1:pos:R:3 comment="CePuPtAu (PBE, optimized geometry)" relative_energy_kcal_per_mol_atoms=0.000 spacegroup="No. 216" pbc="T T T"
Ce 0.000 0.000 0.000
Pu 1.722 1.722 1.722
Pt 5.165 5.165 5.165
Au 3.443 3.443 3.443

=====

Listing raw total energy for the structures above in their given order: -142.6; -67.7; -32.6 eV/cell.
Listing calculated formation energy for the structures above in their given order: -5.98; -5.17; -3.01 eV per formula unit.